Compound: FeOs2Cl
Source: Alexandria via LeMat-Bulk
Functional: PBE
Structure: optimized geometry

Values from the calculation:
The calculation puts the uncorrected formation energy at 1.10 eV per atom. The calculation puts the raw total energy at -7.097 eV per atom. Its volume is 14.50 Å³ per atom.

Cell and atoms, written as CIF:
```
data_FeOs2Cl
_cell_length_a 6.145
_cell_length_b 6.145
_cell_length_c 6.145
_cell_angle_alpha 90.00
_cell_angle_beta 90.00
_cell_angle_gamma 90.00
_space_group_name_H-M_alt 'F -4 3 m'
_space_group_IT_number 216
_space_group_name_Hall 'F -4 2 3'
loop_
_atom_site_label
_atom_site_fract_x
_atom_site_fract_y
_atom_site_fract_z
Fe1 0.000 0.000 0.000
Os1 0.000 0.000 0.500
Os2 0.250 0.250 0.250
Cl1 0.250 0.250 0.750
```